No. 1
This record from the Alexandria database describes a geometry-optimized Nd4GeBiC structure. The functional is PBE.

Formation energy from the elements   -3.6 eV per formula unit
V   401.59 Å³ per cell
SG   No. 63
Crystal system   orthorhombic
Total moment   0.00 μB per formula unit

Cell lengths 8.8061, 8.8061, 7.0643 Å; angles 90.00, 90.00, 132.86 degrees
Last column: nearest neighbours and their distance in Å.
Element x y z (fractional)
Nd 0.0000 0.5000 0.0000  2 C 2.50
Nd 0.0000 0.5000 0.5000  2 C 2.50
Nd 0.0816 0.9184 0.7500  1 C 2.61
Nd 0.4070 0.5930 0.7500  1 C 2.64
Nd 0.5000 0.0000 0.0000  2 C 2.50
Nd 0.5000 0.0000 0.5000  2 C 2.50
Nd 0.5930 0.4070 0.2500  1 C 2.64
Nd 0.9184 0.0816 0.2500  1 C 2.61
Ge 0.1161 0.8839 0.2500  7 Nd 3.19-3.54
Ge 0.8839 0.1161 0.7500  7 Nd 3.19-3.54
Bi 0.3939 0.6061 0.2500  9 Nd 3.21-3.54
Bi 0.6061 0.3939 0.7500  9 Nd 3.21-3.54
C 0.2435 0.7565 0.7500  6 Nd 2.50-2.64
C 0.7565 0.2435 0.2500  6 Nd 2.50-2.64

***

No. 2
This record from the Alexandria database describes a geometry-optimized GeBiC2O structure. The functional is PBE.

V   86.86 Å³ per cell
Formation energy from raw total energies   1.690 eV per atom
SG   No. 123
Crystal system   tetragonal
Total moment   0.09 μB per formula unit

Cell lengths 3.6976, 3.6976, 6.3532 Å; angles 90.00, 90.00, 90.00 degrees
Last column: nearest neighbours and their distance in Å.
Element x y z (fractional)
Ge 0.0000 0.0000 0.0000  4 C 1.85
Bi 0.0000 0.0000 0.5000  4 O 2.61
C 0.0000 0.5000 0.0000  2 Ge 1.85
C 0.5000 0.0000 0.0000  2 Ge 1.85
O 0.5000 0.5000 0.5000  4 Bi 2.61

***

No. 3
This record from the Alexandria database describes a geometry-optimized Pr4GeBiC structure. The functional is PBE.

Formation energy from the elements   -3.5 eV per formula unit
V   411.98 Å³ per cell
SG   No. 63
Crystal system   orthorhombic
Total moment   0.00 μB per formula unit

Cell lengths 8.8778, 8.8778, 7.1270 Å; angles 90.00, 90.00, 132.83 degrees
Last column: nearest neighbours and their distance in Å.
Element x y z (fractional)
Pr 0.0000 0.5000 0.0000  2 C 2.52
Pr 0.0000 0.5000 0.5000  2 C 2.52
Pr 0.0810 0.9190 0.7500  1 C 2.63
Pr 0.4076 0.5924 0.7500  1 C 2.69
Pr 0.5000 0.0000 0.0000  2 C 2.52
Pr 0.5000 0.0000 0.5000  2 C 2.52
Pr 0.5924 0.4076 0.2500  1 C 2.69
Pr 0.9190 0.0810 0.2500  1 C 2.63
Ge 0.1165 0.8835 0.2500  7 Pr 3.21-3.57
Ge 0.8835 0.1165 0.7500  7 Pr 3.21-3.57
Bi 0.3936 0.6064 0.2500  9 Pr 3.23-3.58
Bi 0.6064 0.3936 0.7500  9 Pr 3.23-3.58
C 0.2426 0.7574 0.7500  6 Pr 2.52-2.69
C 0.7574 0.2426 0.2500  6 Pr 2.52-2.69

***

No. 4
This record from the Alexandria database describes a geometry-optimized GeBi2RhC structure. The functional is PBE.

Formation energy from the elements   4.4 eV per formula unit
V   101.78 Å³ per cell
SG   No. 123
Crystal system   tetragonal
Total moment   0.00 μB per formula unit

Cell lengths 5.1442, 5.1442, 3.8462 Å; angles 90.00, 90.00, 90.00 degrees
Last column: nearest neighbours and their distance in Å.
Element x y z (fractional)
Ge 0.0000 0.0000 0.0000  2 C 1.92
Bi 0.0000 0.5000 0.5000  2 C 2.57
Bi 0.5000 0.0000 0.5000  2 C 2.57
Rh 0.5000 0.5000 0.0000  8 Bi 3.21
C 0.0000 0.0000 0.5000  2 Ge 1.92

***

DFT total energy: -5.78 -4.69 -5.76 -4.91 (eV per atom)